## P
First-principles (GGA-PBE) data for a geometry-optimized LiGeRh3 structure, as listed in the Alexandria database.

```
data_LiGeRh3
_cell_length_a 4.130
_cell_length_b 4.130
_cell_length_c 4.130
_cell_angle_alpha 90.00
_cell_angle_beta 90.00
_cell_angle_gamma 90.00
_space_group_name_H-M_alt 'P m -3 m'
_space_group_IT_number 221
_space_group_name_Hall '-P 4 2 3'
loop_
_atom_site_label
_atom_site_fract_x
_atom_site_fract_y
_atom_site_fract_z
Li1 0.000 0.000 0.000
Ge1 0.500 0.500 0.500
Rh1 0.000 0.000 0.500
```

Summary:
Its density of states at the Fermi level is 2.7 states/eV per cell. The calculation puts the total magnetization at 0.000 Bohr magnetons per cell. The mass density is 9.15 g/cm³.

---

## Q
First-principles (GGA-PBE) data for a geometry-optimized LiGeRh3 structure, as listed in the Alexandria database.

```
data_LiGeRh3
_cell_length_a 4.576
_cell_length_b 4.576
_cell_length_c 4.576
_cell_angle_alpha 90.00
_cell_angle_beta 90.00
_cell_angle_gamma 90.00
_space_group_name_H-M_alt 'P m -3 m'
_space_group_IT_number 221
_space_group_name_Hall '-P 4 2 3'
loop_
_atom_site_label
_atom_site_fract_x
_atom_site_fract_y
_atom_site_fract_z
Li1 0.000 0.000 0.000
Ge1 0.500 0.500 0.500
Rh1 0.000 0.500 0.500
```

Summary:
Its density of states at the Fermi level is 7.3 states/eV per cell. The calculation puts the total magnetization at 1.415 Bohr magnetons per cell. The mass density is 6.73 g/cm³.

---

In order of decreasing stability: Q, P.

---

## P
First-principles (GGA-PBE) data for a geometry-optimized LiGe2Ru structure, as listed in the Alexandria database.

```
data_LiGe2Ru
_cell_length_a 4.0492
_cell_length_b 4.0492
_cell_length_c 14.1190
_cell_angle_alpha 90.00
_cell_angle_beta 90.00
_cell_angle_gamma 120.00
_space_group_name_H-M_alt 'R 3 m'
_space_group_IT_number 160
_space_group_name_Hall 'R 3 -2"'
loop_
_atom_site_label
_atom_site_fract_x
_atom_site_fract_y
_atom_site_fract_z
Li1 0.0000 0.0000 0.0000
Ge1 0.0000 0.0000 0.5829
Ge2 0.0000 0.0000 0.7833
Ru1 0.0000 0.0000 0.1925
```

Summary:
Its density of states at the Fermi level is 3.2 states/eV per cell. The calculation puts the total magnetization at 0.000 Bohr magnetons per cell. The mass density is 6.29 g/cm³.

---

## Q
First-principles (GGA-PBE) data for a geometry-optimized LiGe2Ru structure, as listed in the Alexandria database.

```
data_LiGe2Ru
_cell_length_a 7.098
_cell_length_b 7.098
_cell_length_c 5.449
_cell_angle_alpha 90.00
_cell_angle_beta 90.00
_cell_angle_gamma 90.00
_space_group_name_H-M_alt 'I -4 2 d'
_space_group_IT_number 122
_space_group_name_Hall 'I -4 2bw'
loop_
_atom_site_label
_atom_site_fract_x
_atom_site_fract_y
_atom_site_fract_z
Li1 0.000 0.000 0.000
Ge1 0.218 0.750 0.625
Ru1 0.000 0.000 0.500
```

Summary:
Its density of states at the Fermi level is 10.3 states/eV per cell. The calculation puts the total magnetization at 0.000 Bohr magnetons per cell. The mass density is 6.13 g/cm³.

---

In order of decreasing stability: P, Q.

---

## P
First-principles (GGA-PBE) data for a geometry-optimized LiGe2Ru structure, as listed in the Alexandria database.

```
data_LiGe2Ru
_cell_length_a 4.1853
_cell_length_b 4.1853
_cell_length_c 19.0701
_cell_angle_alpha 90.00
_cell_angle_beta 90.00
_cell_angle_gamma 120.00
_space_group_name_H-M_alt 'R -3 m'
_space_group_IT_number 166
_space_group_name_Hall '-R 3 2"'
loop_
_atom_site_label
_atom_site_fract_x
_atom_site_fract_y
_atom_site_fract_z
Li1 0.0000 0.0000 0.0000
Ge1 0.0000 0.0000 0.1331
Ru1 0.0000 0.0000 0.5000
```

Summary:
Its density of states at the Fermi level is 7.7 states/eV per cell. The calculation puts the total magnetization at 0.000 Bohr magnetons per cell. The mass density is 4.36 g/cm³.

---

## Q
First-principles (GGA-PBE) data for a geometry-optimized LiGe2Ru structure, as listed in the Alexandria database.

```
data_LiGe2Ru
_cell_length_a 3.031
_cell_length_b 3.031
_cell_length_c 7.003
_cell_angle_alpha 90.00
_cell_angle_beta 90.00
_cell_angle_gamma 90.00
_space_group_name_H-M_alt 'P 4/m m m'
_space_group_IT_number 123
_space_group_name_Hall '-P 4 2'
loop_
_atom_site_label
_atom_site_fract_x
_atom_site_fract_y
_atom_site_fract_z
Li1 0.000 0.000 0.000
Ge1 0.500 0.500 0.283
Ru1 0.000 0.000 0.500
```

Summary:
Its density of states at the Fermi level is 1.8 states/eV per cell. The calculation puts the total magnetization at 0.000 Bohr magnetons per cell. The mass density is 6.54 g/cm³.

---

In order of decreasing stability: Q, P.

---

## P
First-principles (GGA-PBE) data for a geometry-optimized LiGe2Ru structure, as listed in the Alexandria database.

```
data_LiGe2Ru
_cell_length_a 3.0261
_cell_length_b 3.0261
_cell_length_c 24.5660
_cell_angle_alpha 90.00
_cell_angle_beta 90.00
_cell_angle_gamma 120.00
_space_group_name_H-M_alt 'R -3 m'
_space_group_IT_number 166
_space_group_name_Hall '-R 3 2"'
loop_
_atom_site_label
_atom_site_fract_x
_atom_site_fract_y
_atom_site_fract_z
Li1 0.0000 0.0000 0.0000
Ge1 0.0000 0.0000 0.2427
Ru1 0.0000 0.0000 0.5000
```

Summary:
Its density of states at the Fermi level is 7.4 states/eV per cell. The calculation puts the total magnetization at 0.000 Bohr magnetons per cell. The mass density is 6.48 g/cm³.

---

## Q
First-principles (GGA-PBE) data for a geometry-optimized LiGe2Ru structure, as listed in the Alexandria database.

```
data_LiGe2Ru
_cell_length_a 6.126
_cell_length_b 6.126
_cell_length_c 6.126
_cell_angle_alpha 90.00
_cell_angle_beta 90.00
_cell_angle_gamma 90.00
_space_group_name_H-M_alt 'F m -3 m'
_space_group_IT_number 225
_space_group_name_Hall '-F 4 2 3'
loop_
_atom_site_label
_atom_site_fract_x
_atom_site_fract_y
_atom_site_fract_z
Li1 0.000 0.000 0.000
Ge1 0.250 0.250 0.250
Ru1 0.000 0.000 0.500
```

Summary:
Its density of states at the Fermi level is 8.7 states/eV per cell. The calculation puts the total magnetization at 0.000 Bohr magnetons per cell. The mass density is 7.32 g/cm³.

---

In order of decreasing stability: Q, P.

---

## P
First-principles (GGA-PBE) data for a geometry-optimized LiGeS3 structure, as listed in the Alexandria database.

```
data_LiGeS3
_cell_length_a 8.758
_cell_length_b 5.672
_cell_length_c 12.557
_cell_angle_alpha 90.00
_cell_angle_beta 132.45
_cell_angle_gamma 90.00
_space_group_name_H-M_alt 'P 1 21/c 1'
_space_group_IT_number 14
loop_
_space_group_symop_operation_xyz
'x,y,z'
'-x,-y,-z'
'-x,y+1/2,-z+1/2'
'x,-y+1/2,z+1/2'
loop_
_atom_site_label
_atom_site_fract_x
_atom_site_fract_y
_atom_site_fract_z
Li1 0.183 0.240 0.393
Ge1 0.316 0.729 0.196
S1 0.082 0.585 0.477
S2 0.183 0.609 0.280
S3 0.453 0.001 0.630
```

Summary:
Its density of states at the Fermi level is 0.0 states/eV per cell. The calculation puts the total magnetization at 0.000 Bohr magnetons per cell. The mass density is 2.54 g/cm³.

---

## Q
First-principles (GGA-PBE) data for a geometry-optimized LiGeS3 structure, as listed in the Alexandria database.

```
data_LiGeS3
_cell_length_a 4.749
_cell_length_b 4.749
_cell_length_c 4.749
_cell_angle_alpha 90.00
_cell_angle_beta 90.00
_cell_angle_gamma 90.00
_space_group_name_H-M_alt 'P m -3 m'
_space_group_IT_number 221
_space_group_name_Hall '-P 4 2 3'
loop_
_atom_site_label
_atom_site_fract_x
_atom_site_fract_y
_atom_site_fract_z
Li1 0.000 0.000 0.000
Ge1 0.500 0.500 0.500
S1 0.000 0.500 0.500
```

Summary:
Its density of states at the Fermi level is 3.3 states/eV per cell. The calculation puts the total magnetization at 0.000 Bohr magnetons per cell. The mass density is 2.73 g/cm³.

---

In order of decreasing stability: P, Q.

---

## P
First-principles (GGA-PBE) data for a geometry-optimized Li3GeS structure, as listed in the Alexandria database.

```
data_Li3GeS
_cell_length_a 4.555
_cell_length_b 4.555
_cell_length_c 4.555
_cell_angle_alpha 90.00
_cell_angle_beta 90.00
_cell_angle_gamma 90.00
_space_group_name_H-M_alt 'P m -3 m'
_space_group_IT_number 221
_space_group_name_Hall '-P 4 2 3'
loop_
_atom_site_label
_atom_site_fract_x
_atom_site_fract_y
_atom_site_fract_z
Li1 0.000 0.000 0.500
Ge1 0.500 0.500 0.500
S1 0.000 0.000 0.000
```

Summary:
Its density of states at the Fermi level is 2.8 states/eV per cell. The calculation puts the total magnetization at 0.000 Bohr magnetons per cell. The mass density is 2.21 g/cm³.

---

## Q
First-principles (GGA-PBE) data for a geometry-optimized Li3GeS structure, as listed in the Alexandria database.

```
data_Li3GeS
_cell_length_a 4.819
_cell_length_b 4.819
_cell_length_c 4.819
_cell_angle_alpha 90.00
_cell_angle_beta 90.00
_cell_angle_gamma 90.00
_space_group_name_H-M_alt 'P m -3 m'
_space_group_IT_number 221
_space_group_name_Hall '-P 4 2 3'
loop_
_atom_site_label
_atom_site_fract_x
_atom_site_fract_y
_atom_site_fract_z
Li1 0.000 0.000 0.500
Ge1 0.000 0.000 0.000
S1 0.500 0.500 0.500
```

Summary:
Its density of states at the Fermi level is 2.7 states/eV per cell. The calculation puts the total magnetization at 2.732 Bohr magnetons per cell. The mass density is 1.86 g/cm³.

---

In order of decreasing stability: P, Q.